[1]
First-principles (PBE) data for a relaxed Dy12PuTh5 crystal, as listed in Alexandria.

Crystal system: monoclinic
Spin magnetization (μB/cell): 6.8
DOS at the Fermi energy (states/eV/f.u.): 31.78
Formation energy from the elements (eV/atom): 0.060

a = 10.591 Å, b = 10.650 Å, c = 6.159 Å
α = 107.21°, β = 89.99°, γ = 60.17°
Element x y z (fractional)
Dy: 0.836 0.000 0.500
Dy: 0.164 0.000 0.500
Dy: 0.666 0.000 0.000
Dy: 0.334 0.000 0.000
Dy: 0.330 0.669 0.004
Dy: 0.001 0.669 0.004
Dy: 0.999 0.331 0.996
Dy: 0.670 0.331 0.996
Dy: 0.498 0.334 0.502
Dy: 0.832 0.666 0.498
Dy: 0.168 0.334 0.502
Dy: 0.502 0.666 0.498
Pu: 0.000 0.000 0.000
Th: 0.500 0.000 0.500
Th: 0.165 0.670 0.506
Th: 0.835 0.330 0.494
Th: 0.667 0.666 0.997
Th: 0.333 0.334 0.003

---

[2]
First-principles (PBE) data for a relaxed Sm2Ni3As4Pd crystal, as listed in Alexandria.

Crystal system: tetragonal
Spin magnetization (μB/cell): 0.0
DOS at the Fermi energy (states/eV/f.u.): 3.17
Formation energy from the elements (eV/atom): -0.836

a = 4.254 Å, b = 4.254 Å, c = 9.542 Å
α = 90.00°, β = 90.00°, γ = 90.00°
Element x y z (fractional)
Sm: 0.500 0.000 0.246
Sm: 0.000 0.500 0.754
Ni: 0.000 0.000 0.500
Ni: 0.500 0.000 0.885
Ni: 0.000 0.500 0.115
As: 0.500 0.500 0.000
As: 0.000 0.000 0.000
As: 0.500 0.000 0.639
As: 0.000 0.500 0.361
Pd: 0.500 0.500 0.500

---

[3]
First-principles (PBE) data for a relaxed MgSi crystal, as listed in Alexandria.

Crystal system: triclinic
Spin magnetization (μB/cell): 0.0
Formation energy without anion corrections (eV per atom): 0.027
DOS at the Fermi energy (states/eV/f.u.): 0.37

a = 5.729 Å, b = 5.977 Å, c = 13.481 Å
α = 94.51°, β = 95.13°, γ = 88.48°
Element x y z (fractional)
Mg: 0.720 0.608 0.760
Mg: 0.550 0.759 0.102
Mg: 0.437 0.227 0.439
Mg: 0.914 0.115 0.773
Mg: 0.746 0.262 0.106
Mg: 0.043 0.739 0.433
Mg: 0.450 0.241 0.898
Mg: 0.280 0.392 0.240
Mg: 0.563 0.773 0.561
Mg: 0.254 0.738 0.894
Mg: 0.086 0.885 0.227
Mg: 0.957 0.261 0.567
Si: 0.211 0.448 0.727
Si: 0.186 0.460 0.044
Si: 0.959 0.234 0.368
Si: 0.378 0.939 0.728
Si: 0.178 0.057 0.052
Si: 0.485 0.746 0.359
Si: 0.822 0.943 0.948
Si: 0.622 0.061 0.272
Si: 0.041 0.766 0.632
Si: 0.814 0.540 0.956
Si: 0.789 0.552 0.273
Si: 0.515 0.254 0.641

---

[4]
First-principles (PBE) data for a relaxed K2ZrMn crystal, as listed in Alexandria.

Crystal system: orthorhombic
Spin magnetization (μB/cell): 2.3
DOS at the Fermi energy (states/eV/f.u.): 4.15
Formation energy from the elements (eV/atom): 1.008

a = 3.452 Å, b = 5.241 Å, c = 6.506 Å
α = 90.00°, β = 90.00°, γ = 90.00°
Element x y z (fractional)
K: 0.000 0.000 0.000
K: 0.500 0.500 0.000
Mn: 0.500 0.000 0.500
Zr: 0.000 0.500 0.500

---

[5]
First-principles (PBE) data for a relaxed CsCdH crystal, as listed in Alexandria.

Crystal system: monoclinic
Spin magnetization (μB/cell): 0.0
DOS at the Fermi energy (states/eV/f.u.): 0.81

a = 4.105 Å, b = 4.105 Å, c = 12.229 Å
α = 80.83°, β = 80.83°, γ = 89.98°
Element x y z (fractional)
Cs: 0.880 0.880 0.227
Cs: 0.120 0.120 0.773
Cd: 0.271 0.271 0.457
Cd: 0.729 0.729 0.543
H: 0.348 0.348 0.295
H: 0.652 0.652 0.705

---

[6]
First-principles (PBE) data for a relaxed ThPa2Pt9 crystal, as listed in Alexandria.

Crystal system: tetragonal
Spin magnetization (μB/cell): 1.7
DOS at the Fermi energy (states/eV/f.u.): 13.10
Formation energy from the elements (eV/atom): -0.957

a = 4.215 Å, b = 4.215 Å, c = 12.544 Å
α = 90.00°, β = 90.00°, γ = 90.00°
Element x y z (fractional)
Th: 0.000 0.000 0.000
Pa: 0.000 0.000 0.336
Pa: 0.000 0.000 0.664
Pt: 0.500 0.500 0.000
Pt: 0.500 0.500 0.334
Pt: 0.500 0.500 0.666
Pt: 0.500 0.000 0.171
Pt: 0.500 0.000 0.500
Pt: 0.500 0.000 0.829
Pt: 0.000 0.500 0.171
Pt: 0.000 0.500 0.500
Pt: 0.000 0.500 0.829

---

no.,final energy (eV/atom)
1,-5.87
2,-5.89
3,-3.48
4,-3.97
5,-1.79
6,-7.69